! ZnOs2Pt, optimized geometry, DFT PBE; values from VASP
! E_form in eV/atom: 0.323
! DOS at the Fermi energy in states/eV/f.u.: 4.560
&SYSTEM
  ibrav = 0, nat = 4, ntyp = 3
/
ATOMIC_SPECIES
Os 190.23 Os.upf
Pt 195.08 Pt.upf
Zn 65.41 Zn.upf
ATOMIC_POSITIONS crystal
Os 0.0000 0.0000 0.0000
Pt 0.5000 0.0000 0.5000
Os 0.5000 0.5000 0.0000
Zn 0.0000 0.5000 0.5000
CELL_PARAMETERS angstrom
4.8655 -0.0067 0.0000
-1.9699 4.4488 0.0000
0.0000 0.0000 2.7127